La2PrTlIr | the Alexandria database | PBE-GGA | optimized geometry; VASP energy = -0.2041 hartree per atom
1.0
5.536 0.000 0.000
0.000 5.536 0.000
0.000 0.000 5.726
Ir La Pr Tl
1 2 1 1
Direct
0.000 0.000 0.000
0.500 0.000 0.999
0.000 0.500 0.999
0.000 0.000 0.500
0.500 0.500 0.502

LaPrZnIr | the Alexandria database | PBE-GGA | optimized geometry; VASP energy = -0.2013 hartree per atom
1.0
4.110 0.000 0.000
0.000 4.398 0.000
-2.055 0.000 5.625
Ir Zn La Pr
1 1 1 1
Direct
0.430 0.000 0.860
0.569 0.500 0.138
0.863 0.500 0.726
0.138 0.000 0.276

LaPrZnIr | the Alexandria database | PBE-GGA | optimized geometry; VASP energy = -0.1992 hartree per atom
1.0
5.160 0.000 0.000
2.580 4.469 0.000
2.580 1.490 4.213
Zn Ir Pr La
1 1 1 1
Direct
0.500 0.500 0.500
0.000 0.000 0.000
0.750 0.750 0.750
0.250 0.250 0.250

LaIrPt2 | the Alexandria database | PBE-GGA | optimized geometry; VASP energy = -0.2496 hartree per atom
1.0
2.916 0.000 0.000
0.000 3.938 0.000
0.000 0.000 6.611
Ir Pt La
1 2 1
Direct
0.500 0.500 0.250
0.000 0.000 0.047
0.000 0.000 0.453
0.500 0.500 0.750

La6IrPt2 | the Alexandria database | PBE-GGA | optimized geometry; VASP energy = -0.2341 hartree per atom
1.0
-5.226 -3.860 -3.879
4.982 -2.501 -4.223
6.952 -11.188 1.767
La Pt Ir
12 4 2
Direct
0.821 0.592 0.081
0.321 0.408 0.419
0.679 0.592 0.581
0.316 0.756 0.068
0.816 0.244 0.432
0.552 0.915 0.749
0.948 0.915 0.249
0.184 0.756 0.568
0.179 0.408 0.919
0.052 0.085 0.751
0.448 0.085 0.251
0.684 0.244 0.932
0.387 0.273 0.779
0.887 0.727 0.721
0.113 0.273 0.279
0.613 0.727 0.221
0.500 0.500 0.000
0.000 0.500 0.500

La5Ir2Pt2 | the Alexandria database | PBE-GGA | optimized geometry; VASP energy = -0.2552 hartree per atom
1.0
7.459 0.000 2.708
0.000 7.866 0.000
1.153 0.000 8.451
Pt La Ir
4 10 4
Direct
0.203 0.000 0.594
0.297 0.500 0.406
0.797 0.000 0.406
0.703 0.500 0.594
0.807 0.835 0.732
0.500 0.500 0.000
0.307 0.665 0.732
0.038 0.665 0.268
0.538 0.835 0.268
0.693 0.335 0.268
0.000 0.000 0.000
0.462 0.165 0.732
0.193 0.165 0.268
0.962 0.335 0.732
0.869 0.630 0.000
0.131 0.370 0.000
0.369 0.870 0.000
0.631 0.130 0.000